DFT (GGA-PBE) results for crystalline ThCd3Ag8 at its relaxed geometry.

a = 5.579 Å, b = 5.579 Å, c = 9.723 Å
α = 73.33°, β = 73.33°, γ = 60.00°
Fractional positions:
Ag 0.940 0.439 0.182
Ag 0.937 0.937 0.689
Ag 0.937 0.436 0.689
Ag 0.439 0.940 0.182
Ag 0.187 0.187 0.438
Ag 0.436 0.937 0.689
Ag 0.688 0.688 0.936
Ag 0.439 0.439 0.182
Cd 0.495 0.495 0.514
Cd 0.001 0.001 0.996
Cd 0.374 0.374 0.878
Th 0.876 0.876 0.373

Output
calculated total energy = -2.77 eV per atom
formation energy = -2.0 kJ/mol of atoms



DFT (GGA-PBE) results for crystalline Y4AlBi2 at its relaxed geometry.

a = 5.314 Å, b = 5.314 Å, c = 8.957 Å
α = 72.74°, β = 72.74°, γ = 90.00°
Fractional positions:
Bi 0.635 0.635 0.729
Bi 0.365 0.365 0.271
Y 0.827 0.827 0.347
Y 0.000 0.500 0.000
Y 0.500 0.000 0.000
Y 0.173 0.173 0.653
Al 0.000 0.000 0.000

Output
calculated total energy = -5.64 eV per atom
formation energy = -29.6 kJ/mol of atoms



DFT (GGA-PBE) results for crystalline Re2NiAu at its relaxed geometry.

a = 4.924 Å, b = 4.924 Å, c = 4.924 Å
α = 135.21°, β = 135.21°, γ = 65.20°
Fractional positions:
Au 0.250 0.750 0.500
Re 0.000 0.000 0.000
Re 0.500 0.500 0.000
Ni 0.750 0.250 0.500

Output
calculated total energy = -8.12 eV per atom
offset from the most stable computed form = 167 meV/atom
formation energy = 35.4 kJ/mol of atoms



DFT (GGA-PBE) results for crystalline YH7Rh2 at its relaxed geometry.

a = 3.607 Å, b = 5.053 Å, c = 5.053 Å
α = 114.82°, β = 90.00°, γ = 90.00°
Fractional positions:
H 0.500 0.500 0.500
H 0.500 0.058 0.324
H 0.500 0.942 0.676
H 0.500 0.676 0.942
H 0.000 0.302 0.698
H 0.000 0.698 0.302
H 0.500 0.324 0.058
Rh 0.500 0.698 0.302
Rh 0.500 0.302 0.698
Y 0.000 0.000 0.000

Output
calculated total energy = -4.76 eV per atom



DFT (GGA-PBE) results for crystalline Cr2SnAu2 at its relaxed geometry.

a = 6.645 Å, b = 6.645 Å, c = 3.935 Å
α = 90.00°, β = 90.00°, γ = 90.00°
Last column: magnetic moment on the atom in μB.
Fractional positions:
Cr 0.898 0.602 0.000  0.31
Cr 0.602 0.102 0.000  0.30
Cr 0.102 0.398 0.000  0.31
Cr 0.398 0.898 0.000  0.29
Sn 0.500 0.500 0.000  -0.01
Sn 0.000 0.000 0.000  -0.01
Au 0.319 0.181 0.500  0.00
Au 0.681 0.819 0.500  0.00
Au 0.181 0.681 0.500  0.00
Au 0.819 0.319 0.500  0.00

Output
calculated total energy = -5.65 eV per atom
formation energy = 29.5 kJ/mol of atoms



DFT (GGA-PBE) results for crystalline Cd2ReP at its relaxed geometry.

a = 9.741 Å, b = 9.741 Å, c = 9.741 Å
α = 17.29°, β = 17.29°, γ = 17.29°
Fractional positions:
P 0.250 0.250 0.250
Re 0.750 0.750 0.750
Cd 0.000 0.000 0.000
Cd 0.500 0.500 0.500

Output
calculated total energy = -4.27 eV per atom
formation energy = 63.3 kJ/mol of atoms



DFT (GGA-PBE) results for crystalline PmV2Ge2 at its relaxed geometry.

a = 3.934 Å, b = 3.934 Å, c = 6.484 Å
α = 107.66°, β = 107.66°, γ = 90.00°
Fractional positions:
Ge 0.388 0.388 0.775
Ge 0.612 0.612 0.225
Pm 0.000 0.000 0.000
V 0.250 0.750 0.500
V 0.750 0.250 0.500

Output
calculated total energy = -6.96 eV per atom
formation energy = -50.1 kJ/mol of atoms



DFT (GGA-PBE) results for crystalline Li2GdMg at its relaxed geometry.

a = 3.576 Å, b = 3.576 Å, c = 7.258 Å
α = 90.00°, β = 90.00°, γ = 90.00°
Last column: magnetic moment on the atom in μB.
Fractional positions:
Li 0.000 0.000 0.213  -0.01
Li 0.000 0.000 0.787  -0.01
Mg 0.500 0.500 0.000  0.01
Gd 0.500 0.500 0.500  -7.30

Output
calculated total energy = -4.82 eV per atom
offset from the most stable computed form = 0 meV/atom
formation energy = 5.0 kJ/mol of atoms



DFT (GGA-PBE) results for crystalline Cu2TcHF at its relaxed geometry.

a = 3.844 Å, b = 4.237 Å, c = 3.844 Å
α = 90.00°, β = 90.00°, γ = 90.00°
Last column: magnetic moment on the atom in μB.
Fractional positions:
Cu 0.000 0.000 0.500  0.10
Cu 0.500 0.000 0.000  0.20
F 0.000 0.000 0.000  0.04
H 0.000 0.500 0.000  -0.06
Tc 0.500 0.500 0.500  2.37

Output
calculated total energy = -3.98 eV per atom



DFT (GGA-PBE) results for crystalline ZnCdRh3 at its relaxed geometry.

a = 4.881 Å, b = 4.881 Å, c = 4.881 Å
α = 90.00°, β = 90.00°, γ = 90.00°
Last column: magnetic moment on the atom in μB.
Fractional positions:
Cd 0.000 0.000 0.000  0.02
Rh 0.000 0.000 0.500  1.28
Rh 0.000 0.500 0.000  0.88
Rh 0.500 0.000 0.000  0.52
Zn 0.500 0.500 0.500  0.01

Output
calculated total energy = -3.30 eV per atom
offset from the most stable computed form = 760 meV/atom
formation energy = 149.6 kJ/mol of atoms



DFT (GGA-PBE) results for crystalline IrPb2Au at its relaxed geometry.

a = 3.316 Å, b = 3.316 Å, c = 8.435 Å
α = 90.00°, β = 90.00°, γ = 90.00°
Fractional positions:
Pb 0.500 0.500 0.307
Pb 0.000 0.000 0.932
Au 0.000 0.000 0.532
Ir 0.500 0.500 0.729

Output
calculated total energy = -4.65 eV per atom
offset from the most stable computed form = 49 meV/atom
formation energy = 22.8 kJ/mol of atoms



DFT (GGA-PBE) results for crystalline MnCd3Re at its relaxed geometry.

a = 4.975 Å, b = 4.975 Å, c = 4.975 Å
α = 90.00°, β = 90.00°, γ = 90.00°
Last column: magnetic moment on the atom in μB.
Fractional positions:
Mn 0.000 0.000 0.000  3.39
Cd 0.000 0.500 0.000  -0.02
Cd 0.500 0.000 0.000  -0.02
Cd 0.000 0.000 0.500  -0.04
Re 0.500 0.500 0.500  3.20

Output
calculated total energy = -3.27 eV per atom
offset from the most stable computed form = 0 meV/atom
formation energy = 155.0 kJ/mol of atoms



DFT (GGA-PBE) results for crystalline ZrAl3Pb at its relaxed geometry.

a = 5.254 Å, b = 5.254 Å, c = 5.254 Å
α = 90.00°, β = 90.00°, γ = 90.00°
Fractional positions:
Al 0.500 0.000 0.000
Al 0.000 0.000 0.500
Al 0.000 0.500 0.000
Zr 0.000 0.000 0.000
Pb 0.500 0.500 0.500

Output
calculated total energy = -3.98 eV per atom
offset from the most stable computed form = 0 meV/atom
formation energy = 69.5 kJ/mol of atoms



DFT (GGA-PBE) results for crystalline Tb2PuO at its relaxed geometry.

a = 3.112 Å, b = 3.112 Å, c = 8.716 Å
α = 90.00°, β = 90.00°, γ = 90.00°
Last column: magnetic moment on the atom in μB.
Fractional positions:
Pu 0.500 0.500 0.500  5.47
Tb 0.000 0.000 0.179  0.00
Tb 0.000 0.000 0.821  0.00
O 0.500 0.500 0.000  0.04

Output
uncorrected formation energy = -0.790 eV/atom
calculated total energy = -7.93 eV per atom
offset from the most stable computed form = 314 meV/atom



DFT (GGA-PBE) results for crystalline Y2InBiB at its relaxed geometry.

a = 5.680 Å, b = 5.615 Å, c = 5.680 Å
α = 90.00°, β = 90.00°, γ = 90.00°
Fractional positions:
Y 0.500 0.000 0.000
Y 0.000 0.000 0.500
B 0.500 0.500 0.500
In 0.000 0.000 0.000
Bi 0.000 0.500 0.000

Output
calculated total energy = -3.95 eV per atom
formation energy = 124.9 kJ/mol of atoms



DFT (GGA-PBE) results for crystalline ZrIN2O at its relaxed geometry.

a = 4.445 Å, b = 4.445 Å, c = 4.031 Å
α = 90.00°, β = 90.00°, γ = 90.00°
Fractional positions:
N 0.500 0.000 0.000
N 0.000 0.500 0.000
O 0.000 0.000 0.500
I 0.500 0.500 0.500
Zr 0.000 0.000 0.000

Output
uncorrected formation energy = 0.192 eV/atom
calculated total energy = -6.15 eV per atom



DFT (GGA-PBE) results for crystalline KPdBr2F8 at its relaxed geometry.

a = 5.746 Å, b = 6.259 Å, c = 8.904 Å
α = 49.24°, β = 71.18°, γ = 62.68°
Last column: magnetic moment on the atom in μB.
Fractional positions:
F 0.131 0.328 0.411  0.00
F 0.297 0.076 0.812  -0.01
F 0.869 0.672 0.589  0.00
F 0.280 0.551 0.889  0.00
F 0.815 0.076 0.812  -0.01
F 0.720 0.449 0.111  0.00
F 0.703 0.924 0.188  -0.01
F 0.185 0.924 0.188  -0.01
Br 0.201 0.447 0.150  0.00
Br 0.799 0.553 0.850  0.00
K 0.500 0.500 0.500  0.00
Pd 0.000 0.000 0.000  -0.05

Output
uncorrected formation energy = -1.268 eV/atom
calculated total energy = -3.32 eV per atom



DFT (GGA-PBE) results for crystalline LaInFe3 at its relaxed geometry.

a = 4.720 Å, b = 4.720 Å, c = 4.720 Å
α = 90.00°, β = 90.00°, γ = 90.00°
Last column: magnetic moment on the atom in μB.
Fractional positions:
In 0.500 0.500 0.500  0.00
Fe 0.000 0.000 0.500  2.11
Fe 0.000 0.500 0.000  2.09
Fe 0.500 0.000 0.000  2.13
La 0.000 0.000 0.000  -0.33

Output
calculated total energy = -5.13 eV per atom
offset from the most stable computed form = 543 meV/atom
formation energy = 143.1 kJ/mol of atoms



DFT (GGA-PBE) results for crystalline Ti3AuC at its relaxed geometry.

a = 3.752 Å, b = 3.752 Å, c = 13.991 Å
α = 90.00°, β = 90.00°, γ = 120.00°
Fractional positions:
Ti 0.667 0.333 0.393
Ti 0.667 0.333 0.107
Ti 0.333 0.667 0.607
Ti 0.000 0.000 0.250
Ti 0.000 0.000 0.750
Ti 0.333 0.667 0.893
C 0.667 0.333 0.250
C 0.333 0.667 0.750
Au 0.000 0.000 0.500
Au 0.000 0.000 0.000

Output
calculated total energy = -7.32 eV per atom
offset from the most stable computed form = 542 meV/atom
formation energy = -7.7 kJ/mol of atoms



DFT (GGA-PBE) results for crystalline Sr3CaAc2Te6 at its relaxed geometry.

a = 4.683 Å, b = 9.452 Å, c = 10.535 Å
α = 103.27°, β = 102.84°, γ = 90.00°
Fractional positions:
Te 0.335 0.412 0.670
Te 0.337 0.919 0.674
Te 0.665 0.588 0.330
Te 0.000 0.760 0.000
Te 0.000 0.240 0.000
Te 0.663 0.081 0.326
Ac 0.167 0.336 0.335
Ac 0.833 0.664 0.665
Sr 0.167 0.836 0.335
Sr 0.500 0.500 0.000
Sr 0.833 0.164 0.665
Ca 0.500 0.000 0.000

Output
uncorrected formation energy = -1.621 eV/atom
calculated total energy = -4.46 eV per atom



DFT (GGA-PBE) results for crystalline CsGeH3 at its relaxed geometry.

a = 4.241 Å, b = 4.241 Å, c = 4.241 Å
α = 90.00°, β = 90.00°, γ = 90.00°
Fractional positions:
H 0.000 0.000 0.500
H 0.000 0.500 0.000
H 0.500 0.000 0.000
Ge 0.000 0.000 0.000
Cs 0.500 0.500 0.500

Output
calculated total energy = -2.94 eV per atom
offset from the most stable computed form = 329 meV/atom



DFT (GGA-PBE) results for crystalline MgMnCo2 at its relaxed geometry.

a = 8.585 Å, b = 8.585 Å, c = 8.585 Å
α = 18.33°, β = 18.33°, γ = 18.33°
Last column: magnetic moment on the atom in μB.
Fractional positions:
Co 0.257 0.257 0.257  1.66
Co 0.997 0.997 0.997  1.71
Mn 0.741 0.741 0.741  3.27
Mg 0.504 0.504 0.504  -0.02

Output
calculated total energy = -5.95 eV per atom
formation energy = 28.4 kJ/mol of atoms



DFT (GGA-PBE) results for crystalline HfThCl at its relaxed geometry.

a = 3.365 Å, b = 3.365 Å, c = 14.325 Å
α = 90.00°, β = 90.00°, γ = 120.00°
Fractional positions:
Th 0.333 0.667 0.449
Th 0.667 0.333 0.949
Cl 0.333 0.667 0.119
Cl 0.333 0.667 0.779
Hf 0.667 0.333 0.257
Hf 0.667 0.333 0.642

Output
uncorrected formation energy = -0.430 eV/atom
calculated total energy = -6.84 eV per atom



DFT (GGA-PBE) results for crystalline KMgZnCl5 at its relaxed geometry.

a = 7.233 Å, b = 7.233 Å, c = 9.255 Å
α = 103.69°, β = 103.69°, γ = 105.76°
Fractional positions:
Cl 0.375 0.241 0.069
Cl 0.759 0.625 0.431
Cl 0.068 0.932 0.250
Cl 0.906 0.312 0.106
Cl 0.094 0.688 0.894
Cl 0.688 0.094 0.394
Cl 0.241 0.375 0.569
Cl 0.932 0.068 0.750
Cl 0.312 0.906 0.606
Cl 0.625 0.759 0.931
Mg 0.000 0.000 0.500
Mg 0.000 0.000 0.000
K 0.339 0.661 0.250
K 0.661 0.339 0.750
Zn 0.688 0.312 0.250
Zn 0.312 0.688 0.750

Output
uncorrected formation energy = -1.622 eV/atom
calculated total energy = -3.27 eV per atom



DFT (GGA-PBE) results for crystalline Ca2Nd12Sm5 at its relaxed geometry.

a = 11.867 Å, b = 8.886 Å, c = 9.601 Å
α = 70.94°, β = 90.00°, γ = 131.89°
Fractional positions:
Nd 0.950 0.393 0.197
Nd 0.578 0.156 0.219
Nd 0.120 0.241 0.062
Nd 0.050 0.607 0.803
Nd 0.443 0.393 0.197
Nd 0.422 0.844 0.781
Nd 0.880 0.759 0.938
Nd 0.169 0.784 0.423
Nd 0.831 0.216 0.577
Nd 0.614 0.784 0.423
Nd 0.386 0.216 0.577
Nd 0.557 0.607 0.803
Sm 0.310 0.620 0.235
Sm 0.805 0.610 0.335
Sm 0.195 0.390 0.665
Sm 0.000 0.000 0.500
Sm 0.690 0.380 0.765
Ca 0.730 0.000 0.000
Ca 0.270 0.000 0.000

Output
calculated total energy = -4.34 eV per atom
formation energy = 11.9 kJ/mol of atoms